P | Density functional theory data (GGA-PBE) for a relaxed Mg3AgGe crystal.

Unit cell a=5.0288 b=5.0288 c=5.0288 alpha=90.00 beta=90.00 gamma=90.00
Positions (direct):
Mg 0.5000 0.0000 0.0000
Mg 0.0000 0.0000 0.5000
Mg 0.0000 0.5000 0.0000
Ge 0.0000 0.0000 0.0000
Ag 0.5000 0.5000 0.5000


Q | Density functional theory data (GGA-PBE) for a relaxed Mg3AgGe crystal.

Unit cell a=5.0337 b=5.0337 c=5.0337 alpha=90.00 beta=90.00 gamma=90.00
Positions (direct):
Mg 0.0000 0.5000 0.0000
Mg 0.5000 0.0000 0.0000
Mg 0.0000 0.0000 0.5000
Ag 0.0000 0.0000 0.0000
Ge 0.5000 0.5000 0.5000


Which of them is most stable? Easy: P.